Record 1
The following is a DFT calculation (PBE) of NbAs2HBr after structural relaxation.

Values from the calculation:
The value obtained for the electronic total energy is -0.320 Ry/atom. The calculation puts the energy above the most stable polymorph in this dataset at 0 meV per atom.

abc: 4.9833 4.9833 5.4154
angles: 90.00 90.00 90.00
Closest atoms and distances in Å follow each position.
Atoms (fractional coordinates):
As: 0.5000 0.0000 0.0000  2 Nb 2.49
As: 0.0000 0.5000 0.0000  2 Nb 2.49
Br: 0.0000 0.0000 0.5000  2 Nb 2.71
Nb: 0.0000 0.0000 0.0000  4 As 2.49, 2 Br 2.71
H: 0.5000 0.5000 0.5000  4 Br 3.52, 8 As 3.68

---

Record 2
The following is a DFT calculation (PBE) of SrPmPa4N8 after structural relaxation.

Values from the calculation:
The value obtained for the electronic total energy is -0.692 Ry/atom.

abc: 7.0943 7.0943 7.0413
angles: 59.75 59.75 60.00
Closest atoms and distances in Å follow each position.
Atoms (fractional coordinates):
N: 0.8179 0.2390 0.7042  2 Pa 2.21, 1 Pm 2.41
Pm: 0.0007 0.0007 0.9980  6 N 2.41-2.54
Sr: 0.3787 0.3787 0.8639  4 N 2.54-2.60
N: 0.2274 0.2274 0.3178  3 Pa 2.27
N: 0.2390 0.2390 0.7042  2 Pa 2.21, 1 Pm 2.41
Pa: 0.6200 0.6200 0.1401  4 N 2.27-2.37
N: 0.7578 0.7578 0.7265  4 Pa 2.37-2.45
Pa: 0.0021 0.0021 0.5031  6 N 2.21-2.45
Pa: 0.4927 0.0021 0.5031  6 N 2.21-2.45
N: 0.7474 0.2279 0.2774  3 Pa 2.27-2.41, 1 Pm 2.54
Pa: 0.0021 0.4927 0.5031  6 N 2.21-2.45
N: 0.2390 0.8179 0.7042  2 Pa 2.21, 1 Pm 2.41
N: 0.2279 0.7474 0.2774  3 Pa 2.27-2.41, 1 Pm 2.54
N: 0.7474 0.7474 0.2774  3 Pa 2.27-2.41, 1 Pm 2.54

---

Record 3
The following is a DFT calculation (PBE) of TiB2N after structural relaxation.

Values from the calculation:
The value obtained for the electronic total energy is -0.533 Ry/atom.

abc: 5.0918 5.0918 4.4959
angles: 55.51 55.51 90.00
Closest atoms and distances in Å follow each position.
Atoms (fractional coordinates):
N: 0.5000 0.5000 0.0000  4 B 1.62
B: 0.3750 0.4786 0.7500  2 N 1.62
B: 0.5214 0.1250 0.2500  2 N 1.62
Ti: 0.7500 0.2500 0.5000  8 B 2.31-2.50
B: 0.2286 0.6250 0.2500  2 N 1.62
Ti: 0.0000 0.0000 0.0000  8 B 2.31-2.50
B: 0.8750 0.7714 0.7500  2 N 1.62
N: 0.2500 0.7500 0.5000  4 B 1.62

---

Record 4
The following is a DFT calculation (PBE) of TaTl2Os after structural relaxation.

Values from the calculation:
The value obtained for the electronic total energy is -0.450 Ry/atom. As for the energy of formation from the pure elements: 0.837 eV/atom. The calculation puts the energy above the most stable polymorph in this dataset at 537 meV per atom.

abc: 4.8714 3.1437 5.1720
angles: 88.29 90.00 90.00
Closest atoms and distances in Å follow each position.
Atoms (fractional coordinates):
Ta: 0.5000 0.7500 0.7500  4 Tl 2.92, 4 Os 2.99-3.07, 2 Ta 3.14
Tl: 0.0000 0.4671 0.4959  2 Os 2.84, 2 Ta 2.92, 5 Tl 2.92-3.14
Os: 0.5000 0.2500 0.2500  4 Tl 2.84, 4 Ta 2.99-3.07, 2 Os 3.14
Tl: 0.0000 0.0329 0.0041  2 Os 2.84, 2 Ta 2.92, 5 Tl 2.92-3.14